No. 1
This record from the Alexandria database describes K2PtW after structural relaxation. The functional is PBE.

Values from the calculation:
SG: Cm (8)
D(E_F): 3.3 states/eV/cell
polymorph energy (0 for the lowest one): 0.0858 eV per atom
ΔE_f: 2.44 eV per formula unit

Unit cell a=4.624 b=4.624 c=10.016 alpha=87.72 beta=87.72 gamma=35.83
Positions (direct):
K 0.998 0.998 0.085
K 0.762 0.762 0.659
Pt 0.500 0.500 0.419
W 0.240 0.240 0.337

---

No. 2
This record from the Alexandria database describes CdMoAs2 after structural relaxation. The functional is PBE.

Values from the calculation:
SG: I-4m2 (119)
D(E_F): 2.7 states/eV/cell
ΔE_f: 1.71 eV per formula unit

Unit cell a=5.512 b=5.512 c=5.512 alpha=138.36 beta=138.36 gamma=60.36
Each line ends with the local moment (μB).
Positions (direct):
Mo 0.750 0.250 0.500  1.16
As 0.000 0.000 0.000  -0.03
As 0.250 0.750 0.500  -0.03
Cd 0.500 0.500 0.000  -0.01

---

No. 3
This record from the Alexandria database describes Sr2CoIr after structural relaxation. The functional is PBE.

Values from the calculation:
SG: R-3m (166)
D(E_F): 4.6 states/eV/cell
ΔE_f: 2.81 eV per formula unit

Unit cell a=9.118 b=9.118 c=9.118 alpha=22.98 beta=22.98 gamma=22.98
Each line ends with the local moment (μB).
Positions (direct):
Co 0.250 0.250 0.250  1.59
Ir 0.750 0.750 0.750  -0.04
Sr 0.002 0.002 0.002  -0.05
Sr 0.498 0.498 0.498  -0.05

---

No. 4
This record from the Alexandria database describes Pr2TmCu4 after structural relaxation. The functional is PBE.

Values from the calculation:
SG: C2/m (12)
D(E_F): 5.2 states/eV/cell
ΔE_f: -1.12 eV per formula unit

Unit cell a=4.460 b=6.836 c=5.615 alpha=106.93 beta=113.40 gamma=90.00
Positions (direct):
Pr 0.649 0.727 0.298
Pr 0.351 0.273 0.702
Tm 0.000 0.000 0.000
Cu 0.353 0.744 0.706
Cu 0.902 0.577 0.805
Cu 0.647 0.256 0.294
Cu 0.098 0.423 0.195

---

No. 5
This record from the Alexandria database describes TmGaTc2C after structural relaxation. The functional is PBE.

Values from the calculation:
SG: Cmcm (63)
D(E_F): 5.0 states/eV/cell
ΔE_f: -1.58 eV per formula unit

Unit cell a=3.455 b=6.032 c=7.801 alpha=90.00 beta=90.00 gamma=106.64
Positions (direct):
Tm 0.470 0.940 0.750
Tm 0.530 0.060 0.250
Ga 0.752 0.505 0.750
Ga 0.248 0.495 0.250
Tc 0.161 0.322 0.947
Tc 0.839 0.678 0.053
Tc 0.161 0.322 0.553
Tc 0.839 0.678 0.447
C 0.000 0.000 0.000
C 0.000 0.000 0.500

---

No. 6
This record from the Alexandria database describes PrGa3CoIr after structural relaxation. The functional is PBE.

Values from the calculation:
SG: Cmcm (63)
D(E_F): 5.7 states/eV/cell
ΔE_f: -2.17 eV per formula unit

Unit cell a=5.730 b=7.548 c=6.551 alpha=125.17 beta=90.00 gamma=90.00
Positions (direct):
Pr 0.750 0.281 0.562
Pr 0.250 0.719 0.438
Ga 0.250 0.184 0.368
Ga 0.000 0.252 0.000
Ga 0.500 0.748 0.000
Ga 0.500 0.252 0.000
Ga 0.000 0.748 0.000
Ga 0.750 0.816 0.632
Co 0.250 0.973 0.946
Co 0.750 0.027 0.054
Ir 0.250 0.410 0.821
Ir 0.750 0.590 0.179